A plane-wave DFT calculation with GGA-PBE was carried out for crystalline SrTi4Pd3O12 at its relaxed geometry.

Output
The total moment comes out at 0.00 μB per formula unit. The calculation puts the formation energy (no corrections) at -2.164 eV/atom.

a = 6.591 Å, b = 6.591 Å, c = 6.591 Å
α = 109.47°, β = 109.47°, γ = 109.47°
Atoms (fractional coordinates):
1 Sr 0.000 0.000 0.000
2 Ti 0.500 0.000 0.000
3 Ti 0.500 0.500 0.500
4 Ti 0.000 0.500 0.000
5 Ti 0.000 0.000 0.500
6 Pd 0.000 0.500 0.500
7 Pd 0.500 0.500 0.000
8 Pd 0.500 0.000 0.500
9 O 0.297 0.819 0.116
10 O 0.703 0.181 0.884
11 O 0.703 0.819 0.522
12 O 0.884 0.703 0.181
13 O 0.819 0.116 0.297
14 O 0.181 0.478 0.297
15 O 0.478 0.297 0.181
16 O 0.181 0.884 0.703
17 O 0.297 0.181 0.478
18 O 0.116 0.297 0.819
19 O 0.819 0.522 0.703
20 O 0.522 0.703 0.819